[1]
MgIn2Se4: relaxed, PBEsol.

Cell and atoms, written as POSCAR:
```
MgIn2Se4
1.0
7.9894 0.0000 0.0000
3.9947 6.9190 0.0000
3.9947 2.3063 6.5233
Mg In Se
2 4 8
Cartesian
0.0000 0.0000 0.0000
3.9947 2.3063 1.6308
7.9894 2.3063 4.0771
7.9894 4.6127 0.8154
9.9868 5.7659 4.0771
5.9921 5.7659 4.0771
9.8674 3.5284 2.4950
6.1114 3.5284 2.4950
7.9894 4.6127 5.5618
7.9894 6.7812 2.4950
11.9841 6.9190 2.5924
11.9841 4.7505 5.6592
13.8621 8.0033 5.6592
10.1061 8.0033 5.6592
```

## Properties
Crystal system = cubic
Energy relative to the elements, uncorrected = -474.0 kJ/mol of formula units



[2]
NaHfMnPd2: relaxed, PBEsol.

Cell and atoms, written as POSCAR:
```
NaHfMnPd2
1.0
-3.4551 0.3662 -2.6503
1.2020 -3.7979 -2.0918
-2.4787 -2.3829 2.9021
Na Mn Hf Pd
1 1 1 2
Cartesian
0.0000 0.0000 0.0000
-1.7275 0.1831 -1.3251
-2.3659 -2.9073 -0.9200
-1.2394 -1.1914 1.4511
0.6010 -1.8990 -1.0459
```

## Properties
Crystal system = tetragonal
ΔE_f = 1.027 eV per atom



[3]
CoReNi2: relaxed, PBEsol.

Cell and atoms, written as POSCAR:
```
CoReNi2
1.0
-3.4766 -0.0388 -0.0128
0.0390 -3.4760 -0.0666
1.7060 1.6863 3.7407
Re Co Ni
1 1 2
Cartesian
-1.7188 -1.7574 -0.0397
0.0000 0.0000 0.0000
-1.7447 -0.0549 1.8441
0.0131 -1.7735 1.8172
```

## Properties
Crystal system = tetragonal
Energy above the lowest structure with this stoichiometry = 23 meV/atom
ΔE_f = 0.002 eV per atom



[4]
TaHg2Au: relaxed, PBEsol.

Cell and atoms, written as POSCAR:
```
TaHg2Au
1.0
2.9983 0.0000 0.0000
-1.4991 4.6365 -0.0141
0.0000 -0.7658 5.4438
Au Hg Ta
1 2 1
Cartesian
1.4991 2.1561 1.4831
0.0000 0.0113 0.0113
0.0000 1.7145 4.0372
0.0000 4.2424 2.6059
```

## Properties
Crystal system = monoclinic
Energy above the lowest structure with this stoichiometry = 148 meV/atom
ΔE_f = 0.237 eV per atom



[5]
Hg3TeCl4: relaxed, PBEsol.

Cell and atoms, written as POSCAR:
```
Hg3TeCl4
1.0
11.4827 0.0000 0.0000
0.0000 12.0795 0.0000
0.0000 0.0000 12.6878
Hg Te Cl
24 8 32
Cartesian
6.6642 1.1138 2.3334
3.5883 3.8444 2.8880
2.1530 8.2351 9.2319
7.8943 9.8841 3.4559
2.1530 9.8841 2.8880
7.8943 8.2351 9.7998
9.3297 3.8444 3.4559
3.5883 2.1954 9.2319
9.3297 2.1954 9.7998
0.9229 4.9259 10.3544
4.8185 7.1536 4.0105
10.5598 10.9657 8.6772
4.8185 10.9657 10.3544
10.5598 7.1536 2.3334
6.6642 4.9259 8.6772
0.9229 1.1138 4.0105
2.5284 0.9893 0.1856
8.2697 5.0504 12.5022
8.9543 7.0291 6.1583
3.2130 11.0902 6.5295
8.9543 11.0902 12.5022
3.2130 7.0291 0.1856
2.5284 5.0504 6.5295
8.2697 0.9893 6.1583
4.7596 1.3086 11.4569
10.5010 4.7311 1.2309
6.7230 7.3484 7.5748
0.9817 10.7709 5.1130
6.7230 10.7709 1.2309
0.9817 7.3484 11.4569
4.7596 4.7311 5.1130
10.5010 1.3086 7.5748
3.6796 1.1705 2.8180
9.4210 4.8693 9.8698
7.8030 7.2102 3.5259
2.0617 10.9090 9.1619
7.8030 10.9090 9.8698
2.0617 7.2102 2.8180
3.6796 4.8693 9.1619
9.4210 1.1705 3.5259
0.4169 1.0456 1.3048
6.1582 4.9941 11.3830
11.0658 7.0854 5.0391
5.3245 11.0339 7.6487
11.0658 11.0339 11.3830
5.3245 7.0854 1.3048
0.4169 4.9941 7.6487
6.6869 2.4949 8.5845
8.6002 1.9249 12.0856
2.8588 4.1148 0.6021
2.8825 7.9647 6.9460
8.6238 10.1546 5.7417
2.8825 10.1546 0.6021
8.6238 7.9647 12.0856
8.6002 4.1148 5.7417
2.8588 1.9249 6.9460
0.9456 2.4949 10.4471
6.6869 3.5449 2.2407
10.5371 8.5346 8.5845
4.7958 9.5846 4.1032
10.5371 9.5846 2.2407
4.7958 8.5346 10.4471
0.9456 3.5449 4.1032
6.1582 1.0456 5.0391
```

## Properties
Crystal system = orthorhombic
Energy relative to the elements, uncorrected = -396.4 kJ/mol of formula units



[6]
TlSiAs: relaxed, PBEsol.

Cell and atoms, written as POSCAR:
```
TlSiAs
1.0
4.7091 0.0000 0.0000
2.3546 4.0782 0.0000
2.3546 1.3594 3.8450
Tl Si As
1 1 1
Cartesian
2.3546 1.3594 0.9612
4.7091 2.7188 1.9225
0.0000 0.0000 0.0000
```

## Properties
Crystal system = cubic
Energy relative to the elements, uncorrected = 216.3 kJ/mol of formula units



[7]
Zn12Tc17: relaxed, PBEsol.

Cell and atoms, written as POSCAR:
```
Zn12Tc17
1.0
7.9707 0.0000 0.0000
-2.6569 7.5149 0.0000
-2.6569 -3.7574 6.5081
Tc Zn
17 12
Cartesian
-2.9044 3.5869 2.6720
-2.9044 0.5205 4.4424
4.1158 1.1926 2.0657
-0.9639 2.2148 3.8361
-0.2475 -0.3500 4.7377
2.4094 3.4074 1.7704
4.3499 3.0853 0.0000
1.4589 5.1296 0.0000
4.3499 -1.5427 2.6720
1.4589 -2.5648 4.4424
2.4094 -0.1705 3.8361
-0.2475 4.2779 2.0657
-1.6719 -2.3644 4.0953
-1.6719 4.7288 0.0000
5.0157 0.0000 0.0000
0.9850 1.3930 2.4128
0.0000 0.0000 0.0000
-1.4659 0.0119 2.3869
-1.4659 2.0611 1.2037
-2.8819 3.0625 5.3043
3.1567 2.3794 4.1212
3.8480 5.4418 1.1831
1.1910 1.6844 5.3249
0.4998 2.7561 0.0000
2.4319 1.3900 0.0000
0.4998 -1.3781 2.3869
2.4319 -0.6950 1.2037
1.1910 3.7693 4.1212
3.8480 -1.6963 5.3043
```

## Properties
Crystal system = cubic
ΔE_f = 0.040 eV per atom



[8]
La2TeW: relaxed, PBEsol.

Cell and atoms, written as POSCAR:
```
La2TeW
1.0
-3.8400 0.0518 2.3393
-1.3837 -3.6756 -2.1900
4.7061 -1.0627 3.4267
La Te W
2 1 1
Cartesian
0.0000 0.0000 0.0000
-0.8729 -1.4114 2.9203
-2.6118 -1.8119 0.0746
0.3553 -3.2751 0.6557
```

## Properties
Crystal system = tetragonal
Energy relative to the elements, uncorrected = 56.2 kJ/mol of formula units



[9]
LuH3: relaxed, PBEsol.

Cell and atoms, written as POSCAR:
```
LuH3
1.0
3.3957 0.0000 0.0000
-1.6978 3.0688 0.1350
0.0000 1.7507 2.9096
H Lu
3 1
Cartesian
1.6978 2.8474 2.2497
0.0000 1.9721 0.7949
1.6978 0.8754 1.4548
0.0000 0.0000 0.0000
```

## Properties
Crystal system = tetragonal
E_tot = -17.1 eV for the cell shown



[10]
ScTlHgGe2: relaxed, PBEsol.

Cell and atoms, written as POSCAR:
```
ScTlHgGe2
1.0
-3.6430 2.6620 2.3430
2.0323 -1.1854 4.5068
3.2481 4.6563 -0.2399
Sc Tl Ge Hg
1 1 2 1
Cartesian
0.0000 0.0000 0.0000
1.6240 2.3281 -0.1200
1.0162 -0.5927 2.2534
-1.8215 1.3310 1.1715
0.8187 3.0664 3.3049
```

## Properties
Crystal system = tetragonal
ΔE_f = 0.464 eV per atom



[11]
LiMo4Pb: relaxed, PBEsol.

Cell and atoms, written as POSCAR:
```
LiMo4Pb
1.0
5.2745 0.0000 0.0000
2.6372 4.5678 0.0000
2.6372 1.5226 4.3066
Li Mo Pb
1 4 1
Cartesian
0.0000 0.0000 0.0000
6.6151 2.2712 1.6060
3.9339 2.2712 1.6060
5.2745 3.0452 3.7952
5.2745 4.5932 1.6060
7.9117 4.5678 3.2299
```

## Properties
Crystal system = cubic
ΔE_f = 0.600 eV per atom



[12]
NiHgBr2: relaxed, PBEsol.

Cell and atoms, written as POSCAR:
```
NiHgBr2
1.0
-2.8283 3.3421 2.1727
-3.2799 -1.3800 3.3508
0.7025 1.1075 4.7085
Br Hg Ni
2 1 1
Cartesian
0.0000 0.0000 0.0000
-4.0543 2.3023 7.6740
-2.7029 1.5348 5.1160
-1.3514 0.7674 2.5580
```

## Properties
Crystal system = cubic
Energy above the lowest structure with this stoichiometry = 703 meV/atom
Energy relative to the elements, uncorrected = 228.6 kJ/mol of formula units



[13]
CoSn2PbO: relaxed, PBEsol.

Cell and atoms, written as POSCAR:
```
CoSn2PbO
1.0
-1.4540 -0.2880 3.0672
0.9452 -5.3696 -0.0561
4.8394 0.8271 2.3718
Pb Co Sn O
1 1 2 1
Cartesian
2.1653 -2.4152 2.6914
0.0000 0.0000 0.0000
2.4197 0.4136 1.1859
0.4726 -2.6848 -0.0280
-0.7270 -0.1440 1.5336
```

## Properties
Crystal system = tetragonal
Energy relative to the elements, uncorrected = -134.3 kJ/mol of formula units



[14]
La2HfB2: relaxed, PBEsol.

Cell and atoms, written as POSCAR:
```
La2HfB2
1.0
-4.4651 0.6130 0.5948
-0.8196 -2.1840 -3.9020
2.3705 -3.6695 4.2042
B Hf La
2 1 2
Cartesian
-0.5457 -3.3195 -0.6757
-2.3685 -1.9210 1.5727
0.0000 0.0000 0.0000
-0.1957 -3.2070 1.8361
-2.7185 -2.0335 -0.9391
```

## Properties
Crystal system = tetragonal
ΔE_f = 0.864 eV per atom



[15]
BeTl2Te: relaxed, PBEsol.

Cell and atoms, written as POSCAR:
```
BeTl2Te
1.0
-2.5613 -3.1951 -0.8290
2.5334 -2.5754 2.0989
-2.9286 1.0851 4.8663
Be Tl Te
1 2 1
Cartesian
-1.4782 -2.3427 3.0681
1.2667 -1.2877 1.0494
-1.2806 -1.5975 -0.4145
-1.4643 0.5425 2.4331
```

## Properties
Crystal system = tetragonal
Energy relative to the elements, uncorrected = 159.3 kJ/mol of formula units



[16]
Li3Ti2V3O12: relaxed, PBEsol.

Cell and atoms, written as POSCAR:
```
Li3Ti2V3O12
1.0
8.7540 0.0000 -0.0066
0.0000 9.0897 0.0000
-0.2340 0.0000 12.2965
Li Ti V O
12 8 12 48
Cartesian
8.0514 0.8403 3.7122
8.0249 4.7322 7.9521
6.9045 7.0325 10.0053
5.8755 2.4876 8.4294
4.9626 5.3852 2.4261
4.7551 0.1873 10.4827
3.7649 8.9023 1.8072
3.5574 3.7045 9.8637
2.6445 6.6020 3.8604
1.6155 2.0572 2.2845
0.4951 4.3575 4.3377
0.4686 8.2493 8.5777
6.5398 0.2064 1.3720
6.4743 4.7512 4.7663
6.3344 8.7899 7.5699
6.4456 4.2450 10.8649
2.0744 4.8446 1.4249
2.1856 0.2998 4.7200
2.0457 4.3384 7.5236
1.9802 8.8833 10.9178
8.3185 2.2247 6.2802
7.7437 3.4868 1.8493
7.5681 0.9938 10.5602
5.2703 8.0316 4.2890
5.2119 5.5386 7.8746
4.4615 6.7695 12.1545
4.0585 2.3201 0.1353
3.3081 3.5510 4.4152
3.2497 1.0581 8.0009
0.9519 8.0959 1.7297
0.7763 5.6029 10.4405
0.2015 6.8650 6.0096
8.0308 8.0090 6.8959
8.1213 8.1606 1.1261
8.1103 5.8885 4.8449
7.8777 5.2502 9.8569
7.7414 3.2666 5.0100
7.5961 1.7496 1.9527
7.4892 3.9093 0.2054
7.4732 8.9019 9.2938
7.0733 2.5663 10.0110
6.9685 1.5092 7.0924
6.5794 4.3354 2.8413
6.4347 8.8802 3.2970
6.3559 0.4734 11.6867
6.4241 5.0183 6.7481
5.8115 6.0541 11.3424
5.7067 7.1112 8.4238
5.5248 8.4541 5.9329
5.3068 4.3571 9.1409
5.4179 6.2945 4.1856
5.2727 7.8114 1.1283
4.9038 1.3436 1.2934
4.8927 3.6158 5.0122
4.9023 0.7054 8.5779
4.7492 3.4642 11.5388
3.7708 5.6255 0.7510
3.6177 8.3843 3.7120
3.6273 5.4739 7.2776
3.6162 7.7460 10.9965
3.2473 1.2782 11.1616
3.1021 2.7952 8.1042
3.2132 4.7325 3.1489
2.9952 0.6355 6.3570
2.8133 1.9785 3.8660
2.7085 3.0356 0.9474
2.0959 4.0714 5.5418
2.1641 8.6162 0.6032
2.0853 0.2095 8.9929
1.9406 4.7543 9.4485
1.5515 7.5804 5.1975
1.4467 6.5233 2.2789
1.0468 0.1877 2.9960
1.0308 5.1803 12.0844
0.9239 7.3400 10.3372
0.7786 5.8230 7.2798
0.6423 3.8394 2.4330
0.4097 3.2012 7.4449
0.3987 0.9291 11.1638
0.4892 1.0806 5.3939
```

## Properties
Crystal system = monoclinic
Energy relative to the elements, uncorrected = -4851.9 kJ/mol of formula units



[17]
SrInCu2: relaxed, PBEsol.

Cell and atoms, written as POSCAR:
```
SrInCu2
1.0
4.4522 0.0000 0.0000
0.0000 4.4522 0.0000
-2.2261 -2.2261 4.1327
Cu In Sr
2 1 1
Cartesian
0.0000 0.0000 0.0000
2.2261 0.0000 2.0663
2.2261 2.2261 0.0000
0.0000 2.2261 2.0663
```

## Properties
Crystal system = tetragonal
ΔE_f = 0.191 eV per atom



[18]
SrRu2Pt: relaxed, PBEsol.

Cell and atoms, written as POSCAR:
```
SrRu2Pt
1.0
-1.1136 0.9295 -2.4048
-2.3550 -2.6703 0.0584
-4.6074 4.1450 3.7355
Pt Ru Sr
1 2 1
Cartesian
-5.4236 2.4487 1.8179
-0.0864 0.0778 0.0701
-2.5379 -0.1474 -0.5217
-2.3317 2.0977 1.8905
```

## Properties
Crystal system = orthorhombic
Energy above the lowest structure with this stoichiometry = 0 meV/atom
ΔE_f = 0.236 eV per atom



[19]
BeTcMo: relaxed, PBEsol.

Cell and atoms, written as POSCAR:
```
BeTcMo
1.0
-2.7203 -0.5545 -0.2507
1.7224 -0.4759 -2.1395
0.9197 -5.3891 1.9392
Be Mo Tc
1 1 1
Cartesian
0.0074 -0.0436 0.0157
0.8620 -4.1383 -0.2014
-0.9477 -2.2376 -0.2652
```

## Properties
Crystal system = trigonal
ΔE_f = 0.244 eV per atom



[20]
K2NiF6: relaxed, PBEsol.

Cell and atoms, written as POSCAR:
```
K2NiF6
1.0
-1.6820 5.4165 -0.0140
-5.5317 1.2518 0.0429
-2.3630 2.2476 4.6403
K Ni F
2 1 6
Cartesian
-7.1826 6.6869 3.5019
-2.3942 2.2290 1.1673
0.0000 0.0000 0.0000
-3.4440 3.2328 3.6126
-5.2004 2.6808 1.0643
-4.3764 6.2351 3.6049
-6.1327 5.6831 1.0566
-6.5102 3.9266 3.6364
-3.0666 4.9893 1.0328
```

## Properties
Crystal system = cubic
Energy relative to the elements, uncorrected = -1940.0 kJ/mol of formula units